No. 1
This record from Alexandria describes ZnCdBRu2 after structural relaxation. The functional is PBE.

Cell: 5.0033 5.0033 4.0009 Å, 90.00 90.00 90.00°
Sites, in units of the cell vectors:
Zn (0.0000, 0.0000, 0.0000)
Cd (0.5000, 0.5000, 0.5000)
B (0.5000, 0.5000, 0.0000)
Ru (0.0000, 0.5000, 0.5000)
Ru (0.5000, 0.0000, 0.5000)

Output
Spin magnetization = 0.6288 μB per atom
Energy relative to the elements = 49.0 kcal/mol of atoms
VASP energy = -0.123 Ha/atom



No. 2
This record from Alexandria describes Li2ScReO6 after structural relaxation. The functional is PBE.

Cell: 5.2169 5.4306 9.2021 Å, 90.00 124.49 90.00°
Sites, in units of the cell vectors:
Li (0.2460, 0.0204, 0.2469)
Li (0.2460, 0.4796, 0.7469)
Li (0.7540, 0.5204, 0.2531)
Li (0.7540, 0.9796, 0.7531)
Sc (0.0000, 0.0000, 0.5000)
Sc (0.0000, 0.5000, 0.0000)
Re (0.5000, 0.0000, 0.0000)
Re (0.5000, 0.5000, 0.5000)
O (0.1475, 0.0416, 0.7640)
O (0.1475, 0.4584, 0.2640)
O (0.2540, 0.6742, 0.5570)
O (0.2540, 0.8258, 0.0570)
O (0.3979, 0.2018, 0.5631)
O (0.3979, 0.2982, 0.0631)
O (0.6021, 0.7018, 0.9369)
O (0.6021, 0.7982, 0.4369)
O (0.7460, 0.1742, 0.9430)
O (0.7460, 0.3258, 0.4430)
O (0.8525, 0.5416, 0.7360)
O (0.8525, 0.9584, 0.2360)

Output
Spin magnetization = 0.0000 μB per atom
VASP energy = -0.274 Ha/atom
Formation energy (no corrections) = -2216 meV per atom



No. 3
This record from Alexandria describes CaLa2Ag after structural relaxation. The functional is PBE.

Cell: 4.8486 4.8486 10.7705 Å, 90.00 90.00 90.00°
Sites, in units of the cell vectors:
Ca (0.0000, 0.0000, 0.0000)
Ca (0.5000, 0.5000, 0.5000)
La (0.0000, 0.0000, 0.5000)
La (0.0000, 0.5000, 0.7500)
La (0.5000, 0.0000, 0.2500)
La (0.5000, 0.5000, 0.0000)
Ag (0.0000, 0.5000, 0.2500)
Ag (0.5000, 0.0000, 0.7500)

Output
Spin magnetization = 0.0015 μB per atom
Polymorph energy (0 for the lowest one) = 161 meV per atom
Energy relative to the elements = 1.6 kcal/mol of atoms
VASP energy = -0.133 Ha/atom



Which value of VASP energy does entry 1 give? -0.123 Ha/atom